Entry 1:
Density functional theory data (GGA-PBE) for crystalline CeNbGa6 at its relaxed geometry.

```
CeNbGa6
1.0
-3.940 3.134 1.648
2.141 -3.536 3.312
2.296 3.791 6.805
Ce Nb Ga
1 1 6
Direct
0.500 0.500 0.500
0.000 0.000 0.000
0.276 0.776 0.224
0.776 0.276 0.224
0.224 0.724 0.776
0.724 0.224 0.776
0.278 0.278 0.222
0.722 0.722 0.778
```

Properties
Total DFT energy (no corrections) ... -4.574 eV/atom
DOS at the Fermi energy ... 5.89 states/eV/cell

---

Entry 2:
Density functional theory data (GGA-PBE) for crystalline CeNbGa at its relaxed geometry.

```
CeNbGa
1.0
-2.905 0.026 -2.231
2.528 -1.952 -3.314
-2.314 -2.633 2.982
Nb Ga Ce
1 1 1
Direct
0.167 0.333 0.667
0.167 0.000 0.000
0.667 0.667 0.333
```

Properties
Energy relative to the lowest polymorph listed for this composition ... 0.209 eV per atom
DOS at the Fermi energy ... 5.78 states/eV/cell

---

Entry 3:
Density functional theory data (GGA-PBE) for crystalline CeNbGa2 at its relaxed geometry.

```
CeNbGa2
1.0
-2.182 2.250 1.688
0.244 -1.977 2.951
4.962 3.407 1.872
Nb Ga Ce
1 2 1
Direct
0.500 0.500 0.000
0.000 0.000 0.797
0.000 0.000 0.203
0.500 0.500 0.500
```

Properties
Energy relative to the lowest polymorph listed for this composition ... 0.000 eV per atom
DOS at the Fermi energy ... 4.98 states/eV/cell

---

Entry 4:
Density functional theory data (GGA-PBE) for crystalline CeNbGa2 at its relaxed geometry.

```
CeNbGa2
1.0
-0.119 -1.946 2.314
1.014 -2.829 -0.349
9.290 1.275 3.527
Nb Ga Ce
1 2 1
Direct
0.000 0.000 0.000
0.743 0.743 0.772
0.257 0.257 0.228
0.500 0.500 0.500
```

Properties
Energy relative to the lowest polymorph listed for this composition ... 0.128 eV per atom
DOS at the Fermi energy ... 3.97 states/eV/cell

---

Entry 5:
Density functional theory data (GGA-PBE) for crystalline CeNbGa at its relaxed geometry.

```
CeNbGa
1.0
-0.431 -3.508 -1.208
3.623 -0.661 0.628
-2.593 0.720 4.610
Nb Ce Ga
1 1 1
Direct
0.620 0.620 0.241
0.351 0.351 0.702
0.029 0.029 0.058
```

Properties
Energy relative to the lowest polymorph listed for this composition ... 0.038 eV per atom
DOS at the Fermi energy ... 2.21 states/eV/cell

---

Entry 6:
Density functional theory data (GGA-PBE) for crystalline CeNbGa at its relaxed geometry.

```
CeNbGa
1.0
3.001 0.000 0.000
0.000 7.603 0.000
0.000 0.000 5.479
Ga Ce Nb
2 2 2
Direct
0.500 0.234 0.250
0.500 0.766 0.750
0.000 0.138 0.750
0.000 0.862 0.250
0.000 0.500 0.500
0.000 0.500 0.000
```

Properties
Energy relative to the lowest polymorph listed for this composition ... 0.000 eV per atom
DOS at the Fermi energy ... 9.63 states/eV/cell